1.
Material: HfCdInGa2
Method: DFT, GGA-PBE
State: optimized geometry

Cell lengths 4.8791, 4.8791, 5.5461 Å; angles 90.00, 90.00, 90.00 degrees
Fractional coordinates of all 5 atoms:
Hf 0.0000 0.0000 0.0000
Cd 0.0000 0.0000 0.5000
In 0.5000 0.5000 0.0000
Ga 0.0000 0.5000 0.5000
Ga 0.5000 0.0000 0.5000

Results
Raw total energy = -3.221 eV per atom
SG = P4/mmm, No. 123
D(E_F) = 0.715 states/eV per atom
Mass density = 6.86 g/cm3

---

2.
Material: Ho5Tm2Ga4
Method: DFT, GGA-PBE
State: optimized geometry

Cell lengths 11.5449, 11.5449, 7.8116 Å; angles 108.70, 108.70, 17.06 degrees
Fractional coordinates of all 11 atoms:
Ho 0.0000 0.0000 0.0000
Ho 0.3571 0.3571 0.0840
Ho 0.3731 0.3731 0.6771
Ho 0.6269 0.6269 0.3229
Ho 0.6429 0.6429 0.9160
Tm 0.2267 0.2267 0.6749
Tm 0.7733 0.7733 0.3251
Ga 0.0847 0.0847 0.5811
Ga 0.4948 0.4948 0.3219
Ga 0.5052 0.5052 0.6781
Ga 0.9153 0.9153 0.4189

Results
Raw total energy = -4.137 eV per atom
SG = C2/m, No. 12
D(E_F) = 1.185 states/eV per atom
Mass density = 8.28 g/cm3

---

3.
Material: CaHo2Sn
Method: DFT, GGA-PBE
State: optimized geometry

Cell lengths 12.3614, 12.3614, 12.3614 Å; angles 16.49, 16.49, 16.49 degrees
Fractional coordinates of all 4 atoms:
Ca 0.0000 0.0000 0.0000
Ho 0.4158 0.4158 0.4158
Ho 0.5842 0.5842 0.5842
Sn 0.5000 0.5000 0.5000

Results
Raw total energy = -3.652 eV per atom
SG = R-3m, No. 166
D(E_F) = 1.361 states/eV per atom
Polymorph energy (0 for the lowest one) = 1.935 eV per formula unit
Mass density = 6.11 g/cm3

---

In the order shown, the computed calculated formation energy values come out to 69; -14; 13 kJ/mol of atoms.